# 1
This record from the Alexandria database describes LaMg4Pt2 after structural relaxation. The functional is PBE. Values from VASP.

The structure in Quantum ESPRESSO input format:
```
&SYSTEM
  ibrav = 0, nat = 14, ntyp = 3
/
ATOMIC_SPECIES
Pt 195.08 Pt.upf
Mg 24.30 Mg.upf
La 138.91 La.upf
CELL_PARAMETERS angstrom
4.505 0.000 0.000
0.000 8.114 0.000
0.000 0.000 8.114
ATOMIC_POSITIONS crystal
Pt 0.500 0.733 0.733
Mg 0.500 0.164 0.587
Mg 0.000 0.087 0.336
Pt 0.000 0.233 0.767
Pt 0.500 0.267 0.267
Mg 0.000 0.913 0.664
Pt 0.000 0.767 0.233
La 0.000 0.500 0.500
Mg 0.500 0.836 0.413
Mg 0.000 0.664 0.913
La 0.500 0.000 0.000
Mg 0.500 0.413 0.836
Mg 0.500 0.587 0.164
Mg 0.000 0.336 0.087
```

Summary:
symmetry	P4_2/mnm, No. 136
VASP energy	-0.299	Ry per atom
total magnetization	0.00	μB/f.u.



# 2
This record from the Alexandria database describes AlPtPb2 after structural relaxation. The functional is PBE. Values from VASP.

The structure in Quantum ESPRESSO input format:
```
&SYSTEM
  ibrav = 0, nat = 4, ntyp = 3
/
ATOMIC_SPECIES
Pb 207.20 Pb.upf
Pt 195.08 Pt.upf
Al 26.98 Al.upf
CELL_PARAMETERS angstrom
4.098 0.000 0.000
0.000 4.366 -0.031
0.000 2.130 5.254
ATOMIC_POSITIONS crystal
Pb 0.500 0.273 0.323
Pb 0.000 0.978 0.926
Pt 0.000 0.686 0.495
Al 0.500 0.563 0.756
```

Summary:
symmetry	Pm, No. 6
VASP energy	-0.330	Ry per atom
total magnetization	0.00	μB/f.u.



# 3
This record from the Alexandria database describes ThBeAl after structural relaxation. The functional is PBE. Values from VASP.

The structure in Quantum ESPRESSO input format:
```
&SYSTEM
  ibrav = 0, nat = 3, ntyp = 3
/
ATOMIC_SPECIES
Th 232.04 Th.upf
Al 26.98 Al.upf
Be 9.01 Be.upf
CELL_PARAMETERS angstrom
4.223 0.000 0.000
0.000 4.131 0.000
0.000 -2.065 3.577
ATOMIC_POSITIONS crystal
Th 0.667 0.667 0.333
Al 0.167 0.000 0.000
Be 0.167 0.333 0.667
```

Summary:
symmetry	P-6m2, No. 187
VASP energy	-0.380	Ry per atom
relative energy among the computed polymorphs	0	kJ/mol of formula units
total magnetization	0.00	μB/f.u.



# 4
This record from the Alexandria database describes Li3TeF after structural relaxation. The functional is PBE. Values from VASP.

The structure in Quantum ESPRESSO input format:
```
&SYSTEM
  ibrav = 0, nat = 10, ntyp = 3
/
ATOMIC_SPECIES
Li 6.94 Li.upf
Te 127.60 Te.upf
F 19.00 F.upf
CELL_PARAMETERS angstrom
-2.921 -1.151 -2.880
6.366 -2.832 -2.173
-0.468 -5.765 2.779
ATOMIC_POSITIONS crystal
Li 0.849 0.698 0.428
Li 0.151 0.302 0.572
Te 0.338 0.676 0.707
F 0.922 0.844 0.164
Li 0.058 0.116 0.135
Li 0.297 0.595 0.145
Li 0.942 0.884 0.865
F 0.078 0.156 0.836
Li 0.703 0.405 0.855
Te 0.662 0.324 0.293
```

Summary:
energy relative to the elements, uncorrected	-1.688	eV per atom
symmetry	C2/m, No. 12
VASP energy	-0.282	Ry per atom
relative energy among the computed polymorphs	31	kJ/mol of formula units
total magnetization	0.00	μB/f.u.



# 5
This record from the Alexandria database describes NiRuSeN2 after structural relaxation. The functional is PBE. Values from VASP.

The structure in Quantum ESPRESSO input format:
```
&SYSTEM
  ibrav = 0, nat = 5, ntyp = 4
/
ATOMIC_SPECIES
Ru 101.07 Ru.upf
N 14.01 N.upf
Ni 58.69 Ni.upf
Se 78.96 Se.upf
CELL_PARAMETERS angstrom
-2.608 -1.117 -2.066
2.228 -0.202 -2.704
1.350 -6.045 1.563
ATOMIC_POSITIONS crystal
Ru 0.500 0.500 0.500
N 0.500 0.000 0.000
Ni 0.000 0.000 0.000
N 0.000 0.500 0.000
Se 0.000 0.000 0.500
```

Summary:
energy relative to the elements, uncorrected	1.437	eV per atom
symmetry	P4/mmm, No. 123
VASP energy	-0.412	Ry per atom
relative energy among the computed polymorphs	267	kJ/mol of formula units
total magnetization	1.28	μB/f.u.



# 6
This record from the Alexandria database describes Ni2AsBr after structural relaxation. The functional is PBE. Values from VASP.

The structure in Quantum ESPRESSO input format:
```
&SYSTEM
  ibrav = 0, nat = 4, ntyp = 3
/
ATOMIC_SPECIES
Br 79.90 Br.upf
Ni 58.69 Ni.upf
As 74.92 As.upf
CELL_PARAMETERS angstrom
3.615 -0.035 0.034
1.833 3.116 0.034
1.820 1.029 5.855
ATOMIC_POSITIONS crystal
Br 0.750 0.750 0.750
Ni 0.518 0.518 0.441
Ni 0.982 0.982 0.059
As 0.250 0.250 0.250
```

Summary:
energy relative to the elements, uncorrected	0.000	eV per atom
symmetry	C2/m, No. 12
VASP energy	-0.329	Ry per atom
relative energy among the computed polymorphs	39	kJ/mol of formula units
total magnetization	0.00	μB/f.u.